Entry 1:
Compound: Sr2AlAsRh
Source: Alexandria via LeMat-Bulk
Functional: GGA-PBE
Structure: relaxed

```
Sr2AlAsRh
1.0
5.926 0.000 0.000
0.000 5.926 0.000
0.000 0.000 4.550
Sr Al As Rh
2 1 1 1
Cartesian
0.000 2.963 0.000
2.963 0.000 0.000
0.000 0.000 2.275
2.963 2.963 0.000
2.963 2.963 2.275
```

Entry 2:
Compound: Th3AlAs2Rh9
Source: Alexandria via LeMat-Bulk
Functional: GGA-PBE
Structure: relaxed

```
Th3AlAs2Rh9
1.0
7.187 0.000 0.000
-3.594 6.224 0.000
0.000 0.000 6.530
Th Al As Rh
3 1 2 9
Cartesian
0.000 0.000 0.000
0.000 4.150 4.349
3.594 2.075 2.181
0.000 0.000 3.265
0.000 4.150 1.104
3.594 2.075 5.426
-1.797 3.112 0.000
0.000 2.054 2.155
-1.814 5.197 2.155
1.779 1.027 4.375
3.594 0.000 0.000
1.797 3.112 0.000
1.814 5.197 2.155
5.408 1.027 4.375
3.594 4.170 4.375
```

Entry 3:
Compound: YAl2AsRh
Source: Alexandria via LeMat-Bulk
Functional: GGA-PBE
Structure: relaxed

```
YAl2AsRh
1.0
5.415 0.000 0.000
0.000 5.415 0.000
0.000 0.000 5.207
Y Al As Rh
1 2 1 1
Cartesian
0.000 0.000 0.000
0.000 2.707 0.000
2.707 0.000 0.000
0.000 0.000 2.604
2.707 2.707 2.604
```

Entry 4:
Compound: Al5AsRu6
Source: Alexandria via LeMat-Bulk
Functional: GGA-PBE
Structure: relaxed

```
Al5AsRu6
1.0
-2.125 3.008 6.371
2.125 -3.008 6.371
2.125 3.008 -6.371
Al As Ru
5 1 6
Cartesian
0.000 0.000 0.000
2.125 0.000 2.110
0.000 0.000 4.135
0.000 0.000 8.608
0.000 3.008 4.261
0.000 3.008 0.000
2.125 -1.477 4.293
2.125 1.561 0.000
0.000 1.531 2.078
2.125 1.477 4.293
0.000 1.447 6.371
0.000 4.485 2.078
```

Entry 5:
AlAsRu2 GGA-PBE relaxed; energy above the lowest structure with this stoichiometry = 352 meV per atom
1.0
-1.515 2.455 4.003
1.515 -2.455 4.003
1.515 2.455 -4.003
Al As Ru
1 1 2
Cartesian
0.000 0.000 0.000
0.000 0.000 4.003
1.515 0.000 2.098
0.000 2.455 1.906

Entry 6:
Compound: AlAsRu
Source: Alexandria via LeMat-Bulk
Functional: GGA-PBE
Structure: relaxed

```
AlAsRu
1.0
0.000 2.476 6.325
1.542 0.000 6.325
1.542 2.476 0.000
Al As Ru
1 1 1
Cartesian
0.000 0.000 0.000
1.542 2.476 8.743
1.542 2.476 4.349
```

Entry 7:
Compound: AlAsRu
Source: Alexandria via LeMat-Bulk
Functional: GGA-PBE
Structure: relaxed

```
AlAsRu
1.0
0.000 2.934 2.934
2.934 0.000 2.934
2.934 2.934 0.000
Al As Ru
1 1 1
Cartesian
0.000 0.000 0.000
4.401 4.401 4.401
2.934 2.934 2.934
```

Entry 8:
AlAsRu2 GGA-PBE relaxed; energy above the lowest structure with this stoichiometry = 318 meV per atom
1.0
2.907 0.000 0.000
0.000 2.907 0.000
0.000 0.000 7.509
Al As Ru
1 1 2
Cartesian
0.000 0.000 0.000
1.453 1.453 2.644
0.000 0.000 4.185
1.453 1.453 6.002

Number 1: ΔH_f (0 K) -16.6 kJ per mole of atoms, total energy -20.0 eV/cell, calculated density 3.9 g/cm3. Number 2: ΔH_f (0 K) -49.7 kJ per mole of atoms, total energy -109.2 eV/cell, calculated density 10.2 g/cm3. Number 3: ΔH_f (0 K) 125.9 kJ per mole of atoms, total energy -19.4 eV/cell, calculated density 3.5 g/cm3. Number 4: ΔH_f (0 K) -59.3 kJ per mole of atoms, total energy -86.4 eV/cell, calculated density 8.3 g/cm3. Number 5: ΔH_f (0 K) -5.0 kJ per mole of atoms, total energy -27.2 eV/cell, calculated density 8.5 g/cm3. Number 6: ΔH_f (0 K) 5.9 kJ per mole of atoms, total energy -17.5 eV/cell, calculated density 7.0 g/cm3. Number 7: ΔH_f (0 K) 16.7 kJ per mole of atoms, total energy -17.1 eV/cell, calculated density 6.7 g/cm3. Number 8: ΔH_f (0 K) -8.2 kJ per mole of atoms, total energy -27.3 eV/cell, calculated density 8.0 g/cm3.